1.
Density functional theory data (PBE) for LaMoP3 after structural relaxation.

abc: 5.309 5.309 5.309
angles: 90.00 90.00 90.00
Fractional coordinates of all 5 atoms:
La (0.000, 0.000, 0.000)
Mo (0.500, 0.500, 0.500)
P (0.000, 0.000, 0.500)
P (0.000, 0.500, 0.000)
P (0.500, 0.000, 0.000)

Values from the calculation:
distance to the lowest polymorph of the same formula	1924	meV per atom
symmetry	Pm-3m (221)
E_form	1491	meV per atom

---

2.
Density functional theory data (PBE) for CdIrRh2 after structural relaxation.

abc: 5.607 7.862 2.795
angles: 90.00 90.00 90.00
Fractional coordinates of all 8 atoms:
Cd (0.000, 0.000, 0.000)
Cd (0.500, 0.500, 0.000)
Ir (0.000, 0.500, 0.000)
Ir (0.500, 0.000, 0.000)
Rh (0.250, 0.250, 0.500)
Rh (0.250, 0.750, 0.500)
Rh (0.750, 0.250, 0.500)
Rh (0.750, 0.750, 0.500)

Values from the calculation:
symmetry	Cmmm (65)
E_form	70	meV per atom